Record 1
Below is a relaxed structure of CuSbTe2Ir, with properties calculated at the GGA-PBE level.

Values from the calculation:
- Energy above the lowest structure with this stoichiometry: 0 meV per atom
- Density of states at the Fermi level: 5.87 states/eV/cell
- ΔE_f (raw): 0.7689 eV/atom

abc: 5.4207 5.4207 4.9437
angles: 90.00 90.00 90.00
Space group P4/mmm (No. 123)
One atom of each set of equivalent atoms:
Cu  0.0000  0.0000  0.0000 (multiplicity 1)
Sb  0.5000  0.5000  0.0000 (multiplicity 1)
Te  0.0000  0.5000  0.5000 (multiplicity 2)
Ir  0.5000  0.5000  0.5000 (multiplicity 1)

***

Record 2
Below is a relaxed structure of TlCuSbIr2, with properties calculated at the GGA-PBE level.

Values from the calculation:
- Density of states at the Fermi level: 5.37 states/eV/cell
- ΔE_f (raw): 1.5774 eV/atom

abc: 5.0254 5.0254 4.6763
angles: 90.00 90.00 90.00
Space group P4/mmm (No. 123)
One atom of each set of equivalent atoms:
Tl  0.0000  0.0000  0.0000 (multiplicity 1)
Cu  0.0000  0.0000  0.5000 (multiplicity 1)
Sb  0.5000  0.5000  0.5000 (multiplicity 1)
Ir  0.0000  0.5000  0.0000 (multiplicity 2)